Record 1
A relaxed structure of SrH2F2. Source: the Alexandria database, functional GGA-PBE.

Summary:
**DFT total energy**: -4.712 eV/atom
**V**: 10.9 Å³ per atom

Structure (CIF):
```
data_SrH2F2
_space_group_name_H-M_alt 'I 4/m m m'
_space_group_IT_number 139
_space_group_name_Hall '-I 4 2'
_cell_length_a 4.160
_cell_length_b 4.160
_cell_length_c 6.280
_cell_angle_alpha 90.00
_cell_angle_beta 90.00
_cell_angle_gamma 90.00
loop_
_atom_site_label
_atom_site_fract_x
_atom_site_fract_y
_atom_site_fract_z
Sr1 0.000 0.000 0.000
H1 0.000 0.000 0.441
F1 0.000 0.500 0.250
```



Record 2
A relaxed structure of MnTlZnCl5. Source: the Alexandria database, functional GGA-PBE.

Summary:
**DFT total energy**: -3.845 eV/atom
**V**: 27.5 Å³ per atom

Structure (CIF):
```
data_MnTlZnCl5
_space_group_name_H-M_alt 'C 1 2/c 1'
_space_group_IT_number 15
_cell_length_a 8.817
_cell_length_b 11.665
_cell_length_c 9.274
_cell_angle_alpha 90.00
_cell_angle_beta 112.91
_cell_angle_gamma 90.00
loop_
_space_group_symop_operation_xyz
'x,y,z'
'-x,-y,-z'
'-x,y,-z+1/2'
'x,-y,z+1/2'
'x+1/2,y+1/2,z'
'-x+1/2,-y+1/2,-z'
'-x+1/2,y+1/2,-z+1/2'
'x+1/2,-y+1/2,z+1/2'
loop_
_atom_site_label
_atom_site_fract_x
_atom_site_fract_y
_atom_site_fract_z
Mn1 0.000 0.000 0.000
Tl1 0.000 0.340 0.250
Zn1 0.000 0.313 0.750
Cl1 0.000 0.067 0.250
Cl2 0.106 0.202 0.606
Cl3 0.193 0.429 0.931
```



Record 3
A relaxed structure of BaEu2Ho. Source: the Alexandria database, functional GGA-PBE.

Summary:
**DFT total energy**: -6.652 eV/atom
**Calculated formation energy**: 110.3 meV per atom
**V**: 43.2 Å³ per atom

Structure (CIF):
```
data_BaEu2Ho
_space_group_name_H-M_alt 'P 4/m m m'
_space_group_IT_number 123
_space_group_name_Hall '-P 4 2'
_cell_length_a 4.169
_cell_length_b 4.169
_cell_length_c 9.944
_cell_angle_alpha 90.00
_cell_angle_beta 90.00
_cell_angle_gamma 90.00
loop_
_atom_site_label
_atom_site_fract_x
_atom_site_fract_y
_atom_site_fract_z
Ba1 0.000 0.000 0.000
Eu1 0.500 0.500 0.292
Ho1 0.000 0.000 0.500
```



Record 4
A relaxed structure of Ga2GeAu. Source: the Alexandria database, functional GGA-PBE.

Summary:
**DFT total energy**: -3.477 eV/atom
**Calculated formation energy**: 9.8 meV per atom
**V**: 20.0 Å³ per atom

Structure (CIF):
```
data_Ga2GeAu
_space_group_name_H-M_alt 'R 3 m'
_space_group_IT_number 160
_space_group_name_Hall 'R 3 -2"'
_cell_length_a 3.9903
_cell_length_b 3.9903
_cell_length_c 17.3991
_cell_angle_alpha 90.00
_cell_angle_beta 90.00
_cell_angle_gamma 120.00
loop_
_atom_site_label
_atom_site_fract_x
_atom_site_fract_y
_atom_site_fract_z
Ga1 0.0000 0.0000 0.0000
Ga2 0.0000 0.0000 0.1703
Ge1 0.0000 0.0000 0.5846
Au1 0.0000 0.0000 0.4195
```



Record 5
A relaxed structure of LaDyEr2Tm4. Source: the Alexandria database, functional GGA-PBE.

Summary:
**DFT total energy**: -4.542 eV/atom
**Calculated formation energy**: 25.5 meV per atom
**V**: 31.1 Å³ per atom

Structure (CIF):
```
data_LaDyEr2Tm4
_space_group_name_H-M_alt 'C 1 2/m 1'
_space_group_IT_number 12
_cell_length_a 12.212
_cell_length_b 7.071
_cell_length_c 12.205
_cell_angle_alpha 90.00
_cell_angle_beta 109.39
_cell_angle_gamma 90.00
loop_
_space_group_symop_operation_xyz
'x,y,z'
'-x,-y,-z'
'-x,y,-z'
'x,-y,z'
'x+1/2,y+1/2,z'
'-x+1/2,-y+1/2,-z'
'-x+1/2,y+1/2,-z'
'x+1/2,-y+1/2,z'
loop_
_atom_site_label
_atom_site_fract_x
_atom_site_fract_y
_atom_site_fract_z
La1 0.250 0.250 0.000
Dy1 0.000 0.000 0.000
Dy2 0.000 0.000 0.500
Er1 0.000 0.500 0.000
Er2 0.000 0.500 0.500
Er3 0.250 0.250 0.500
Tm1 0.002 0.250 0.253
Tm2 0.248 0.000 0.746
Tm3 0.248 0.500 0.746
```



Record 6
A relaxed structure of TiB3O. Source: the Alexandria database, functional GGA-PBE.

Summary:
**DFT total energy**: -4.264 eV/atom
**V**: 15.7 Å³ per atom

Structure (CIF):
```
data_TiB3O
_space_group_name_H-M_alt 'P m -3 m'
_space_group_IT_number 221
_space_group_name_Hall '-P 4 2 3'
_cell_length_a 4.280
_cell_length_b 4.280
_cell_length_c 4.280
_cell_angle_alpha 90.00
_cell_angle_beta 90.00
_cell_angle_gamma 90.00
loop_
_atom_site_label
_atom_site_fract_x
_atom_site_fract_y
_atom_site_fract_z
Ti1 0.000 0.000 0.000
B1 0.000 0.000 0.500
O1 0.500 0.500 0.500
```



Record 7
A relaxed structure of HoAl3Pd4. Source: the Alexandria database, functional GGA-PBE.

Summary:
**DFT total energy**: -5.456 eV/atom
**Calculated formation energy**: -883.9 meV per atom
**V**: 16.9 Å³ per atom

Structure (CIF):
```
data_HoAl3Pd4
_space_group_name_H-M_alt 'R -3 m'
_space_group_IT_number 166
_space_group_name_Hall '-R 3 2"'
_cell_length_a 4.3153
_cell_length_b 4.3153
_cell_length_c 25.0984
_cell_angle_alpha 90.00
_cell_angle_beta 90.00
_cell_angle_gamma 120.00
loop_
_atom_site_label
_atom_site_fract_x
_atom_site_fract_y
_atom_site_fract_z
Ho1 0.0000 0.0000 0.0000
Al1 0.0000 0.0000 0.2420
Al2 0.0000 0.0000 0.5000
Pd1 0.0000 0.0000 0.1332
Pd2 0.0000 0.0000 0.4005
```



Record 8
A relaxed structure of FeAs3I. Source: the Alexandria database, functional GGA-PBE.

Summary:
**DFT total energy**: -4.353 eV/atom
**V**: 21.2 Å³ per atom

Structure (CIF):
```
data_FeAs3I
_space_group_name_H-M_alt 'P m -3 m'
_space_group_IT_number 221
_space_group_name_Hall '-P 4 2 3'
_cell_length_a 4.735
_cell_length_b 4.735
_cell_length_c 4.735
_cell_angle_alpha 90.00
_cell_angle_beta 90.00
_cell_angle_gamma 90.00
loop_
_atom_site_label
_atom_site_fract_x
_atom_site_fract_y
_atom_site_fract_z
Fe1 0.000 0.000 0.000
As1 0.000 0.000 0.500
I1 0.500 0.500 0.500
```



Record 9
A relaxed structure of LiNdCdAu. Source: the Alexandria database, functional GGA-PBE.

Summary:
**DFT total energy**: -3.173 eV/atom
**Calculated formation energy**: -454.3 meV per atom
**V**: 21.9 Å³ per atom

Structure (CIF):
```
data_LiNdCdAu
_space_group_name_H-M_alt 'F -4 3 m'
_space_group_IT_number 216
_space_group_name_Hall 'F -4 2 3'
_cell_length_a 7.047
_cell_length_b 7.047
_cell_length_c 7.047
_cell_angle_alpha 90.00
_cell_angle_beta 90.00
_cell_angle_gamma 90.00
loop_
_atom_site_label
_atom_site_fract_x
_atom_site_fract_y
_atom_site_fract_z
Li1 0.000 0.000 0.000
Nd1 0.250 0.250 0.250
Cd1 0.250 0.250 0.750
Au1 0.000 0.000 0.500
```



Record 10
A relaxed structure of Sr2ZrRu. Source: the Alexandria database, functional GGA-PBE.

Summary:
**DFT total energy**: -5.132 eV/atom
**Calculated formation energy**: 164.7 meV per atom
**V**: 30.5 Å³ per atom

Structure (CIF):
```
data_Sr2ZrRu
_space_group_name_H-M_alt 'I m m 2'
_space_group_IT_number 44
_cell_length_a 3.704
_cell_length_b 5.923
_cell_length_c 11.131
_cell_angle_alpha 90.00
_cell_angle_beta 90.00
_cell_angle_gamma 90.00
loop_
_space_group_symop_operation_xyz
'x,y,z'
'-x,-y,z'
'-x,y,z'
'x,-y,z'
'x+1/2,y+1/2,z+1/2'
'-x+1/2,-y+1/2,z+1/2'
'-x+1/2,y+1/2,z+1/2'
'x+1/2,-y+1/2,z+1/2'
loop_
_atom_site_label
_atom_site_fract_x
_atom_site_fract_y
_atom_site_fract_z
Sr1 0.000 0.000 0.000
Sr2 0.000 0.500 0.192
Zr1 0.000 0.500 0.811
Ru1 0.000 0.000 0.459
```



Record 11
A relaxed structure of La6TbTl. Source: the Alexandria database, functional GGA-PBE.

Summary:
**DFT total energy**: -4.420 eV/atom
**Calculated formation energy**: 150.5 meV per atom
**V**: 35.3 Å³ per atom

Structure (CIF):
```
data_La6TbTl
_space_group_name_H-M_alt 'C 1 2/m 1'
_space_group_IT_number 12
_cell_length_a 7.328
_cell_length_b 12.727
_cell_length_c 6.922
_cell_angle_alpha 90.00
_cell_angle_beta 118.98
_cell_angle_gamma 90.00
loop_
_space_group_symop_operation_xyz
'x,y,z'
'-x,-y,-z'
'-x,y,-z'
'x,-y,z'
'x+1/2,y+1/2,z'
'-x+1/2,-y+1/2,-z'
'-x+1/2,y+1/2,-z'
'x+1/2,-y+1/2,z'
loop_
_atom_site_label
_atom_site_fract_x
_atom_site_fract_y
_atom_site_fract_z
La1 0.014 0.000 0.260
La2 0.026 0.271 0.746
Tb1 0.000 0.500 0.000
Tl1 0.000 0.500 0.500
```



Record 12
A relaxed structure of LiLaSb2. Source: the Alexandria database, functional GGA-PBE.

Summary:
**DFT total energy**: -4.239 eV/atom
**V**: 26.3 Å³ per atom

Structure (CIF):
```
data_LiLaSb2
_space_group_name_H-M_alt 'R -3 m'
_space_group_IT_number 166
_space_group_name_Hall '-R 3 2"'
_cell_length_a 3.5030
_cell_length_b 3.5030
_cell_length_c 29.7238
_cell_angle_alpha 90.00
_cell_angle_beta 90.00
_cell_angle_gamma 120.00
loop_
_atom_site_label
_atom_site_fract_x
_atom_site_fract_y
_atom_site_fract_z
Li1 0.0000 0.0000 0.0000
La1 0.0000 0.0000 0.5000
Sb1 0.0000 0.0000 0.2591
```